Entry 1:
8
Lattice="-3.076 -2.468 2.069 0.497 -5.302 -5.586 5.674 -2.047 5.996" Properties=species:S:1:pos:R:3 comment="PBE PmDyIn2Te4, optimized geometry" sg="P2/m (10)" e_form_raw_mev_per_atom=-980 pbc="T T T"
Te 4.529 -2.930 3.239
Pm -1.290 -3.885 -1.758
Te 1.642 -4.419 -2.829
In 3.086 -3.675 0.205
Dy 0.000 0.000 0.000
Te 3.265 -6.888 1.432
In 1.299 -2.257 4.032
Te -0.170 -2.929 1.047

Entry 2:
4
Lattice="-3.837 2.309 -2.855 -3.633 -2.984 -2.470 -5.015 -0.065 1.747" Properties=species:S:1:pos:R:3 comment="PBE PmDyTiIn, optimized geometry" ef_ev_per_atom=-0.075 sg="F-43m (216)" pbc="T T T"
Ti -3.121 -0.185 -0.895
Dy 0.000 0.000 0.000
Pm -6.242 -0.370 -1.789
In -9.364 -0.555 -2.684

Entry 3:
4
Lattice="-1.780 -4.839 1.628 -1.404 -3.732 -3.651 3.078 -4.389 -0.701" Properties=species:S:1:pos:R:3 comment="PBE PmDyTlIn, optimized geometry" ef_ev_per_atom=-0.421 sg="F-43m (216)" pbc="T T T"
Dy -0.053 -6.480 -1.362
In -0.027 -3.240 -0.681
Pm 0.000 0.000 0.000
Tl -0.080 -9.719 -2.043

Entry 4:
7
Lattice="3.519 0.000 0.000 -1.760 5.771 -1.034 0.000 -2.559 11.262" Properties=species:S:1:pos:R:3 comment="PBE Pm2Dy2Tm2In, optimized geometry" ef_ev_per_atom=-0.021 sg="C2/m (12)" pbc="T T T"
Tm 1.760 1.250 6.590
Dy 0.000 1.401 9.624
Pm 1.760 -1.596 8.446
Tm 0.000 1.962 3.638
Pm 0.000 4.808 1.782
In 0.000 -1.280 5.631
Dy 1.760 1.810 0.605

We obtain E values of -4.4041 -5.0715 -4.0358 -4.3622 eV/atom for the records listed above, in that order.